(1)
Material: CaLa6Y
Method: DFT, PBE
State: relaxed

a b c (Å): 5.2707 5.2707 10.5441
angles (deg): 90.00 90.00 90.00
Closest atoms and distances in Å follow each position.
Space group P4/mmm (No. 123)
One atom of each set of equivalent atoms:
Ca1 0.0000 0.0000 0.0000 x1  12 La 3.73-3.77
La1 0.0000 0.5000 0.2563 x4  8 La 3.68-3.77, 2 Y 3.68, 2 Ca 3.77
La2 0.5000 0.5000 0.0000 x1  4 Ca 3.73, 8 La 3.77
La3 0.5000 0.5000 0.5000 x1  8 La 3.68, 4 Y 3.73
Y1 0.0000 0.0000 0.5000 x1  12 La 3.68-3.73

***

(2)
Material: Ca2LaY
Method: DFT, PBE
State: relaxed

Properties
Energy above the lowest structure with this stoichiometry ... 0.0527 eV per atom

a b c (Å): 3.7258 3.7258 37.4431
angles (deg): 90.00 90.00 120.00
Closest atoms and distances in Å follow each position.
Space group R3m (No. 160, hexagonal axes)
One atom of each set of equivalent atoms:
Ca1 0.0000 0.0000 0.0000 x3  3 Y 3.72, 6 Ca 3.73, 3 La 3.86
Ca2 0.0000 0.0000 0.1618 x3  3 Y 3.71, 6 Ca 3.73, 3 La 3.87
La1 0.0000 0.0000 0.5811 x3  6 La 3.73, 6 Ca 3.86-3.87
Y1 0.0000 0.0000 0.4145 x3  6 Ca 3.71-3.72, 6 Y 3.73

***

(3)
Material: CaLa4Y
Method: DFT, PBE
State: relaxed

Properties
Energy above the lowest structure with this stoichiometry ... 0.1682 eV per atom

a b c (Å): 9.7328 9.7328 9.7328
angles (deg): 90.00 90.00 90.00
Closest atoms and distances in Å follow each position.
Space group F-43m (No. 216)
One atom of each set of equivalent atoms:
Ca1 0.0000 0.0000 0.0000 x4  12 La 4.05, 4 Y 4.21
La1 0.1214 0.1214 0.6214 x16  6 La 3.34-3.54
Y1 0.2500 0.2500 0.2500 x4  12 La 4.02, 4 Ca 4.21

***

(4)
Material: CaLa4Y2
Method: DFT, PBE
State: relaxed

a b c (Å): 3.7033 3.7033 64.1199
angles (deg): 90.00 90.00 120.00
Closest atoms and distances in Å follow each position.
Space group R-3m (No. 166, hexagonal axes)
One atom of each set of equivalent atoms:
Ca1 0.0000 0.0000 0.0000 x3  6 Ca 3.70, 6 La 3.90
La1 0.0000 0.0000 0.1430 x6  3 Y 3.69, 9 La 3.70-3.71
La2 0.0000 0.0000 0.2825 x6  3 Y 3.60, 6 La 3.70, 3 Ca 3.90
Y1 0.0000 0.0000 0.4293 x6  6 La 3.60-3.69, 6 Y 3.70

***

(5)
Material: CaLa5Y8
Method: DFT, PBE
State: relaxed

a b c (Å): 9.7995 9.7995 10.3361
angles (deg): 90.00 90.00 90.00
Closest atoms and distances in Å follow each position.
Space group I-4 (No. 82)
One atom of each set of equivalent atoms:
Ca1 0.0000 0.0000 0.0000 x2  4 Y 3.33
La1 0.0000 0.5000 0.2500 x2  8 Y 3.14-3.44
La2 0.1078 0.7161 0.6728 x8  8 Y 3.46-3.65, 2 La 3.71
Y1 0.0739 0.8252 0.3526 x8  5 La 3.44-3.65, 3 Y 3.67-3.72
Y2 0.0848 0.6709 0.0063 x8  2 La 3.14-3.48, 1 Ca 3.33

***

(6)
Material: CaLa2Y
Method: DFT, PBE
State: relaxed

Properties
Energy above the lowest structure with this stoichiometry ... 0.3680 eV per atom

a b c (Å): 9.2173 9.2173 6.8942
angles (deg): 90.00 90.00 90.00
Closest atoms and distances in Å follow each position.
Space group I-42d (No. 122)
One atom of each set of equivalent atoms:
Ca1 0.0000 0.0000 0.0000 x4  4 La 3.42, 2 Y 3.45
La1 0.2425 0.2500 0.6250 x8  2 Y 3.32, 2 Ca 3.42, 2 La 3.45
Y1 0.0000 0.0000 0.5000 x4  4 La 3.32, 2 Ca 3.45

***

Calculated formation energy across the listed records, respectively: 29 94 196 21 213 391 meV per atom.